# BaHgTe2 (PBE, optimized geometry)
data_BaHgTe2
_symmetry_space_group_name_H-M 'R -3 m'
_symmetry_Int_Tables_number 166
_symmetry_space_group_name_Hall '-R 3 2"'
_cell_length_a 4.7693
_cell_length_b 4.7693
_cell_length_c 22.3857
_cell_angle_alpha 90.00
_cell_angle_beta 90.00
_cell_angle_gamma 120.00
loop_
_atom_site_label
_atom_site_type_symbol
_atom_site_fract_x
_atom_site_fract_y
_atom_site_fract_z
_atom_site_occupancy
Ba1 Ba 0.0000 0.0000 0.0000 1
Hg1 Hg 0.0000 0.0000 0.5000 1
Te1 Te 0.0000 0.0000 0.2375 1
# final energy = -2.878 eV/atom
# ΔE_f (raw) = -0.751 eV per atom
# total magnetic moment = 0.0 μB/f.u.